Entry from Alexandria via LeMat-Bulk: a relaxed PuThAu2 crystal (PBE-GGA).

a = 4.0776 Å, b = 4.0776 Å, c = 8.1187 Å
α = 75.46°, β = 75.46°, γ = 60.00°
With the nearest neighbours (Å) after each atom.
Element x y z (fractional)
Au (0.2518, 0.2518, 0.2446)  3 Th 3.03, 3 Pu 3.08
Au (0.7482, 0.7482, 0.7554)  3 Th 3.03, 3 Pu 3.08
Th (0.0000, 0.0000, 0.0000)  6 Au 3.03
Pu (0.5000, 0.5000, 0.5000)  6 Au 3.08

Summary:
The density of states at the Fermi level comes out at 3.139 states/eV per atom. Its space-group type is R-3m. The formation energy from the elements comes out at -0.35 eV per atom. As for the relative energy among the computed polymorphs: 135 meV per atom.